[1]
This record from the Alexandria database describes crystalline Hg2SbAuI at its relaxed geometry. The functional is GGA-PBE.

ΔE_f (raw) = 0.299 eV/f.u.
Fermi-level density of states = 1.052 states/eV/cell
raw total energy = -1.85 eV/atom

Lattice parameters (Å, degrees): 5.705 5.705 5.205 90.00 90.00 90.00
Atoms (fractional coordinates):
Au1 0.000 0.000 0.500
Hg1 0.000 0.500 0.000
Hg2 0.500 0.000 0.000
I1 0.500 0.500 0.500
Sb1 0.000 0.000 0.000

[2]
This record from the Alexandria database describes crystalline HgSbAuI2 at its relaxed geometry. The functional is GGA-PBE.

ΔE_f (raw) = 1.491 eV/f.u.
Fermi-level density of states = 4.555 states/eV/cell
raw total energy = -1.86 eV/atom

Lattice parameters (Å, degrees): 5.788 5.788 5.435 90.00 90.00 90.00
Last column: magnetic moment on the atom in μB.
Atoms (fractional coordinates):
I1 0.000 0.500 0.000  0.01
I2 0.500 0.000 0.000  0.01
Sb1 0.000 0.000 0.500  0.36
Hg1 0.500 0.500 0.500  0.02
Au1 0.000 0.000 0.000  0.02

[3]
This record from the Alexandria database describes crystalline HgSb2AuI at its relaxed geometry. The functional is GGA-PBE.

ΔE_f (raw) = 2.441 eV/f.u.
Fermi-level density of states = 5.919 states/eV/cell
raw total energy = -2.19 eV/atom

Lattice parameters (Å, degrees): 5.463 5.463 5.828 90.00 90.00 90.00
Last column: magnetic moment on the atom in μB.
Atoms (fractional coordinates):
I1 0.000 0.000 0.500  0.04
Au1 0.000 0.000 0.000  0.03
Hg1 0.500 0.500 0.500  0.02
Sb1 0.500 0.000 0.000  0.20
Sb2 0.000 0.500 0.000  0.20

[4]
This record from the Alexandria database describes crystalline Hg6AuSe2I2 at its relaxed geometry. The functional is GGA-PBE.

ΔE_f (raw) = -0.326 eV/f.u.
Fermi-level density of states = 1.197 states/eV/cell
raw total energy = -1.41 eV/atom

Lattice parameters (Å, degrees): 7.850 7.658 8.998 117.08 90.00 120.84
Atoms (fractional coordinates):
Hg1 0.735 0.470 0.623
Hg2 0.265 0.530 0.377
Hg3 0.724 0.070 0.788
Hg4 0.654 0.930 0.212
Hg5 0.346 0.070 0.788
Hg6 0.276 0.930 0.212
I1 0.695 0.390 0.142
I2 0.305 0.610 0.858
Se1 0.955 0.910 0.688
Se2 0.045 0.090 0.312
Au1 0.500 0.000 0.500